## NaUSn2O8 (PBE)

Data for a geometry-optimized NaUSn2O8 structure.

Lattice parameters (Å, degrees): 5.079 5.071 6.490 90.00 90.00 87.93
Each line ends with the local moment (μB).
Fractional coordinates of all 12 atoms:
O  0.201  0.798  0.781  0.05
O  0.679  0.681  0.500  0.23
Sn  0.500  0.500  0.748  -0.01
O  0.799  0.202  0.219  0.05
O  0.687  0.689  0.000  0.07
O  0.799  0.202  0.781  0.05
Sn  0.500  0.500  0.252  -0.01
O  0.201  0.798  0.219  0.05
Na  0.000  0.000  0.500  0.00
U  0.000  0.000  0.000  -0.01
O  0.313  0.311  0.000  0.07
O  0.321  0.319  0.500  0.23

Values from the calculation:
ΔE_f (raw), eV per atom: -1.949
Symmetry: P2/m
Total DFT energy (no corrections), eV/atom: -6.973